The following is a PBE calculation of BeAlI3 after structural relaxation, from Alexandria via LeMat-Bulk.

Structure (POSCAR):
```
BeAlI3
1.0
-2.924 3.486 3.227
-4.030 -3.827 0.482
2.515 -2.078 4.525
Al I Be
1 3 1
Cartesian
0.000 0.000 0.000
-1.462 1.743 1.613
1.257 -1.039 2.262
-2.015 -1.913 0.241
-2.220 -1.209 4.117
```

Total magnetic moment = 0.000 μB per formula unit
Formation energy without anion corrections = 382 meV per atom
ΔE to the lowest computed polymorph = 331 meV/atom
VASP energy = -10.2 eV/cell